{"formula": "NaPS2Cl", "functional": "PBE", "state": "relaxed", "e_form_raw_kcal_per_mol_atoms": 17.06, "polymorph_energy_ev_per_atom": 1.0316, "vol_a3_per_atom": 23.24, "e_tot_ev_per_atom": -2.63, "spacegroup": "P4/mmm", "rho_g_cm3": 2.19, "lattice_angstrom": [[4.985, 0.000, 0.000], [0.000, 4.985, 0.000], [0.000, 0.000, 4.676]], "species": ["Na", "P", "S", "S", "Cl"], "frac_coords": [[0.000, 0.000, 0.000], [0.500, 0.500, 0.000], [0.000, 0.500, 0.500], [0.500, 0.000, 0.500], [0.500, 0.500, 0.500]]}